DFT (GGA-PBE) results for a geometry-optimized Pm2Er3Se6 structure.

Cell and atoms, written as CIF:
```
data_Pm2Er3Se6
_cell_length_a 20.156
_cell_length_b 20.156
_cell_length_c 20.156
_cell_angle_alpha 11.83
_cell_angle_beta 11.83
_cell_angle_gamma 11.83
_space_group_name_H-M_alt 'P 1'
_space_group_IT_number 1
loop_
_space_group_symop_operation_xyz
'x,y,z'
loop_
_atom_site_label
_atom_site_fract_x
_atom_site_fract_y
_atom_site_fract_z
Pm1 0.055 0.055 0.055
Pm2 0.945 0.945 0.945
Er1 0.219 0.219 0.219
Er2 0.500 0.500 0.500
Er3 0.781 0.781 0.781
Se1 0.140 0.140 0.140
Se2 0.303 0.303 0.303
Se3 0.420 0.420 0.420
Se4 0.580 0.580 0.580
Se5 0.697 0.697 0.697
Se6 0.860 0.860 0.860
```

**V**: 299.31 Å³ per cell
**Raw formation energy**: -19.08 eV/f.u.
**E above lowest polymorph**: 126 meV per atom
**Total DFT energy (no corrections)**: -63.18 eV/cell
**SG**: R-3m, No. 166